[1]
A relaxed structure of Na2Ag5Pd2. Source: Alexandria via LeMat-Bulk, functional GGA-PBE.

Results
DOS(E_F) in states/eV per cell: 6.775
Crystal system: monoclinic

a b c (Å): 12.189 4.298 6.549
angles (deg): 90.00 108.15 90.00
Space group C2/m (No. 12)
Symmetry-distinct sites (fractional):
Na1 0.109 0.000 0.163 x4
Ag1 0.000 0.000 0.500 x2
Ag2 0.162 0.500 0.500 x4
Ag3 0.221 0.000 0.829 x4
Pd1 0.060 0.500 0.831 x4


[2]
A relaxed structure of Ba6TlIr2. Source: Alexandria via LeMat-Bulk, functional GGA-PBE.

Results
E above lowest polymorph in eV/f.u.: 0.08
DOS(E_F) in states/eV per cell: 10.237
Crystal system: monoclinic

a b c (Å): 15.507 6.147 10.735
angles (deg): 90.00 121.04 90.00
Space group C2/m (No. 12)
Symmetry-distinct sites (fractional):
Ba1 0.025 0.000 0.195 x4
Ba2 0.152 0.500 0.595 x4
Ba3 0.213 0.500 0.090 x4
Tl1 0.000 0.000 0.500 x2
Ir1 0.178 0.000 0.098 x4


Table of DFT total energy (eV/cell), in record order: -55.0 -65.9
Table of energy relative to the elements (eV per atom), in record order: -0.023 -0.146